A) Ta2TeBr | PBEsol | relaxed

POSCAR file:
```
Ta2TeBr
1.0
-2.1859 2.1859 4.0747
2.1859 -2.1859 4.0747
2.1859 2.1859 -4.0747
Ta Te Br
2 1 1
direct
0.0000 0.0000 0.0000
0.7500 0.2500 0.5000
0.5000 0.5000 0.0000
0.2500 0.7500 0.5000
```

B) Ta2TeBr | PBEsol | relaxed

POSCAR file:
```
Ta2TeBr
1.0
4.6624 0.0000 0.0000
0.0000 4.6624 0.0000
0.0000 0.0000 3.3813
Ta Te Br
2 1 1
direct
0.0000 0.5000 0.0000
0.5000 0.0000 0.0000
0.0000 0.0000 0.5000
0.5000 0.5000 0.5000
```

Computed relative energies in units of kJ/mol of atoms: A) 17.2; B) 0.0